PmPr4Tm | GGA-PBE | relaxed

The structure in CIF format:
```
data_PmPr4Tm
_cell_length_a 11.928
_cell_length_b 3.505
_cell_length_c 11.732
_cell_angle_alpha 90.00
_cell_angle_beta 119.56
_cell_angle_gamma 90.00
_symmetry_space_group_name_H-M 'C 1 2/m 1'
_symmetry_Int_Tables_number 12
loop_
_symmetry_equiv_pos_as_xyz
'x,y,z'
'-x,-y,-z'
'-x,y,-z'
'x,-y,z'
'x+1/2,y+1/2,z'
'-x+1/2,-y+1/2,-z'
'-x+1/2,y+1/2,-z'
'x+1/2,-y+1/2,z'
loop_
_atom_site_label
_atom_site_type_symbol
_atom_site_fract_x
_atom_site_fract_y
_atom_site_fract_z
_atom_site_occupancy
Pm1 Pm 0.000 0.000 0.000 1
Pr1 Pr 0.186 0.000 0.841 1
Pr2 Pr 0.190 0.000 0.346 1
Tm1 Tm 0.000 0.000 0.500 1
```

* final energy: -4.55 eV per atom
* density: 6.83 g cm⁻³
* total magnetic moment: 0.00 Bohr magnetons per cell